KTaZn2 PBE optimized geometry; energy of formation = 0.45 eV per atom; volume = 83 Å³/f.u.; DFT total energy = -13.7 eV for the cell shown; polymorph energy (0 for the lowest one) = 0.0 kJ/mol of formula units
1.0
-5.159 -9.181 1.210
-2.332 -10.236 1.467
-3.757 -9.115 3.893
Ta Zn K
1 2 1
direct
0.750 0.750 0.750
0.488 0.488 0.488
0.012 0.012 0.012
0.250 0.250 0.250

***

TaFeSeBr2 PBE optimized geometry; volume = 135 Å³/f.u.; DFT total energy = -24.7 eV for the cell shown; polymorph energy (0 for the lowest one) = 0.0 kJ/mol of formula units; formation energy without anion corrections = 0.483 eV per atom
1.0
-0.805 4.738 -1.912
-0.469 -1.996 -4.748
-4.954 -0.551 0.721
Se Br Fe Ta
1 2 1 1
direct
0.000 0.000 0.500
0.000 0.500 0.000
0.500 0.000 0.000
0.500 0.500 0.500
0.000 0.000 0.000

***

La4Pb5 PBE optimized geometry; energy of formation = -0.46 eV per atom; volume = 299 Å³/f.u.; DFT total energy = -42.4 eV for the cell shown
1.0
-5.632 5.632 2.354
5.632 -5.632 2.354
5.632 5.632 -2.354
Pb La
5 4
direct
0.324 0.676 0.000
0.324 0.324 0.648
0.676 0.676 0.352
0.676 0.324 0.000
0.000 0.000 0.000
0.000 0.298 0.298
0.702 0.000 0.702
0.298 0.000 0.298
0.000 0.702 0.702

***

MgWBr PBE optimized geometry; volume = 59 Å³/f.u.; DFT total energy = -14.2 eV for the cell shown; polymorph energy (0 for the lowest one) = 53.0 kJ/mol of formula units; formation energy without anion corrections = 0.667 eV per atom
1.0
7.446 0.001 0.000
6.435 2.983 -0.002
1.011 -1.377 2.645
W Br Mg
1 1 1
direct
0.336 0.336 0.664
0.994 0.994 0.006
0.670 0.670 0.330